Density functional theory data (PBE) for crystalline CoN at its relaxed geometry.

```
16
Lattice="-2.361 -1.176 5.137 4.843 -2.705 1.606 2.079 4.965 2.092" Properties=species:S:1:pos:R:3 pbc="T T T"
N 3.170 -0.585 3.442
N 5.311 1.663 3.948
Co 1.508 1.520 5.265
Co 2.341 -0.791 5.119
N 2.211 2.077 3.610
Co 1.593 0.378 3.086
N 0.608 2.662 6.253
Co -0.962 -0.658 4.920
N 0.792 0.188 1.534
Co 2.140 3.631 2.793
Co 3.874 0.920 7.504
Co 3.680 1.060 4.201
Co 4.070 -1.726 2.454
N 2.412 -2.346 5.936
N 3.072 0.730 5.951
N 0.669 -0.055 4.668
```

Calculated values
As for the space group: I-43m, No. 217. The excess energy over the best structure of this formula in the dataset is 129 meV per atom. The uncorrected formation energy is 0.234 eV/atom.

=====

Density functional theory data (PBE) for crystalline TbPrGa2 at its relaxed geometry.

```
4
Lattice="-0.069 -1.950 3.097 3.652 0.165 0.186 -0.476 6.163 3.870" Properties=species:S:1:pos:R:3 pbc="T T T"
Pr 1.553 2.189 3.576
Ga -0.111 1.444 0.907
Ga -0.364 4.719 2.963
Tb 1.791 -0.892 1.641
```

Calculated values
As for the space group: P4/mmm, No. 123. Its formation energy is -0.57 eV/atom.

=====

Density functional theory data (PBE) for crystalline Ac5ZnGe4 at its relaxed geometry.

```
10
Lattice="3.854 0.000 0.000 0.000 3.854 0.000 0.000 0.000 20.065" Properties=species:S:1:pos:R:3 pbc="T T T"
Ge 0.000 0.000 16.178
Ac 1.927 1.927 5.968
Ge 0.000 0.000 3.888
Ac 1.927 1.927 10.033
Ge 0.000 0.000 7.974
Zn 0.000 0.000 0.000
Ac 1.927 1.927 18.057
Ge 0.000 0.000 12.091
Ac 1.927 1.927 2.009
Ac 1.927 1.927 14.097
```

Calculated values
As for the space group: P4/mmm, No. 123. Its formation energy is -0.48 eV/atom.

=====

Density functional theory data (PBE) for crystalline Ho4Ga2Sb at its relaxed geometry.

```
14
Lattice="7.712 -1.049 -0.164 -1.615 7.616 0.162 -2.928 -3.393 6.365" Properties=species:S:1:pos:R:3 pbc="T T T"
Ga -2.413 0.714 5.641
Ga 1.413 0.217 3.948
Ho -1.513 0.646 2.556
Ho 0.103 2.204 5.738
Ho 3.287 -2.294 4.656
Ga 4.057 0.818 0.722
Ho 5.357 3.437 0.626
Ho 0.640 6.283 1.709
Ga 3.280 4.599 2.416
Sb -0.747 3.752 3.263
Ho -0.568 -1.770 4.775
Ho 3.924 1.712 3.807
Ho 1.447 2.475 1.587
Sb 0.001 0.000 0.001
```

Calculated values
As for the space group: I-42d, No. 122. The uncorrected formation energy is -0.651 eV/atom.

=====

Density functional theory data (PBE) for crystalline Al2IrW at its relaxed geometry.

```
4
Lattice="-0.142 -3.617 2.622 4.074 -1.181 -1.408 1.194 1.528 2.173" Properties=species:S:1:pos:R:3 pbc="T T T"
Al 1.966 -2.399 0.607
Al 0.000 0.000 0.000
Ir 0.526 -1.044 2.398
W 2.634 0.173 0.382
```

Calculated values
As for the space group: P4/mmm, No. 123. The excess energy over the best structure of this formula in the dataset is 56 meV per atom. Its formation energy is -0.33 eV/atom.

=====

Density functional theory data (PBE) for crystalline SbSe2SF at its relaxed geometry.

```
5
Lattice="-4.290 2.481 -0.889 -1.128 -2.882 -2.602 -2.231 -2.513 3.750" Properties=species:S:1:pos:R:3 pbc="T T T"
S 0.000 0.000 0.000
Se -2.145 1.241 -0.445
F -0.564 -1.441 -1.301
Sb -3.824 -1.457 0.129
Se -1.115 -1.256 1.875
```

Calculated values
As for the space group: P4/mmm, No. 123. The uncorrected formation energy is -0.081 eV/atom.

=====

Number 1: density 5.03 g/cm3, E -119.70 eV for the cell shown. Number 2: density 7.47 g/cm3, E -17.75 eV for the cell shown. Number 3: density 8.31 g/cm3, E -45.13 eV for the cell shown. Number 4: density 8.42 g/cm3, E -66.09 eV for the cell shown. Number 5: density 12.27 g/cm3, E -30.61 eV for the cell shown. Number 6: density 5.36 g/cm3, E -17.50 eV for the cell shown.